[1]
A relaxed Li4CeSb2 crystal. Source: Alexandria, functional GGA-PBE.

The space group is R-3m (No. 166, hexagonal axes) and the conventional cell measures 4.5905, 4.5905 and 24.8203 Å, with angles of 90.00, 90.00 and 120.00 degrees. The distinct sites, in fractional coordinates, are Li at (0.0000, 0.0000, 0.0702), Li at (0.0000, 0.0000, 0.3612), Ce at (0.0000, 0.0000, 0.5000) and Sb at (0.0000, 0.0000, 0.2469).

The uncorrected formation energy comes out at -0.69 eV/atom. For the total energy, the calculation gives -79.965 eV/cell.

[2]
A relaxed Cs2Tl4Ni crystal. Source: Alexandria, functional GGA-PBE.

The space group is I4/mmm (No. 139) and the conventional cell measures 5.2225, 5.2225 and 20.8068 Å, with angles of 90.00, 90.00 and 90.00 degrees. The distinct sites, in fractional coordinates, are Cs at (0.0000, 0.0000, 0.1683), Tl at (0.0000, 0.0000, 0.3756), Tl at (0.0000, 0.5000, 0.0000) and Ni at (0.0000, 0.0000, 0.5000).

The formation energy from the elements is 0.0191 eV per atom. For the total energy, the calculation gives -33.640 eV/cell.

[3]
A relaxed ScCu13 crystal. Source: Alexandria, functional GGA-PBE.

The space group is Fm-3c (No. 226) and the conventional cell measures 11.4621, 11.4621 and 11.4621 Å, with angles of 90.00, 90.00 and 90.00 degrees. The distinct sites, in fractional coordinates, are Sc at (0.2500, 0.2500, 0.2500), Cu at (0.0000, 0.0000, 0.0000) and Cu at (0.0000, 0.1186, 0.1804).

The formation energy from the elements is 0.0370 eV per atom. For the total energy, the calculation gives -472.504 eV/cell.

[4]
A relaxed Ac3AgOs crystal. Source: Alexandria, functional GGA-PBE.

The space group is C2/m (No. 12) and the conventional cell measures 17.3939, 4.7028 and 9.6423 Å, with angles of 90.00, 119.79 and 90.00 degrees. The distinct sites, in fractional coordinates, are Ac at (0.0346, 0.0000, 0.2130), Ac at (0.1529, 0.5000, 0.8707), Ac at (0.2362, 0.5000, 0.3195), Ag at (0.0779, 0.5000, 0.4727) and Os at (0.1591, 0.0000, 0.0817).

The formation energy from the elements is -0.0579 eV per atom. For the total energy, the calculation gives -106.783 eV/cell. The energy above the lowest structure with this stoichiometry is 0.0 kJ/mol of formula units.

[5]
A relaxed K2TcPt crystal. Source: Alexandria, functional GGA-PBE.

The space group is R-3m (No. 166, hexagonal axes) and the conventional cell measures 2.9021, 2.9021 and 34.1319 Å, with angles of 90.00, 90.00 and 120.00 degrees. The distinct sites, in fractional coordinates, are K at (0.0000, 0.0000, 0.2469), Tc at (0.0000, 0.0000, 0.0000) and Pt at (0.0000, 0.0000, 0.5000).

The formation energy from the elements is 0.8528 eV per atom. For the total energy, the calculation gives -45.572 eV/cell. The energy above the lowest structure with this stoichiometry is 164.5 kJ/mol of formula units.

[6]
A relaxed GaHg2BrF crystal. Source: Alexandria, functional GGA-PBE.

The space group is P4/mmm (No. 123) and the conventional cell measures 5.6341, 5.6341 and 4.4437 Å, with angles of 90.00, 90.00 and 90.00 degrees. The distinct sites, in fractional coordinates, are Ga at (0.0000, 0.0000, 0.0000), Hg at (0.0000, 0.5000, 0.5000), Br at (0.5000, 0.5000, 0.0000) and F at (0.0000, 0.0000, 0.5000).

The uncorrected formation energy comes out at -0.41 eV/atom. For the total energy, the calculation gives -9.245 eV/cell.

What is the formula in the sixth record?
GaHg2BrF